8
Lattice="3.508 0.000 0.000 0.000 6.089 0.119 0.000 -2.114 5.661" Properties=species:S:1:pos:R:3 comment="PmPu2UN4 | Alexandria | GGA-PBE | relaxed" sg="P2/m, No. 10" raw_formation_energy_ev_per_atom=-1.33 pbc="T T T"
Pm 0.000 0.000 0.000
Pu 1.754 -1.057 2.831
Pu 0.000 1.987 2.890
U 1.754 3.044 0.059
N 1.754 1.146 1.450
N 1.754 2.828 4.330
N 0.000 0.049 4.347
N 0.000 3.925 1.433